<a>
PBE-GGA La2PrDy5, relaxed; magnetic moment = 0.00 μB/f.u.
1.0
8.548 0.000 0.000
2.375 11.042 0.000
2.070 0.193 11.465
La Pr Dy
8 4 20
direct
0.083 0.454 0.265 La
0.096 0.815 0.174 La
0.157 0.587 0.957 La
0.159 0.155 0.087 La
0.841 0.845 0.913 La
0.843 0.413 0.043 La
0.904 0.185 0.826 La
0.917 0.546 0.735 La
0.399 0.207 0.325 Pr
0.400 0.767 0.405 Pr
0.600 0.233 0.595 Pr
0.601 0.793 0.675 Pr
0.014 0.283 0.537 Dy
0.110 0.019 0.374 Dy
0.202 0.741 0.682 Dy
0.238 0.312 0.795 Dy
0.238 0.907 0.897 Dy
0.296 0.475 0.527 Dy
0.300 0.042 0.616 Dy
0.466 0.333 0.016 Dy
0.472 0.931 0.142 Dy
0.479 0.507 0.244 Dy
0.521 0.493 0.756 Dy
0.528 0.069 0.858 Dy
0.534 0.667 0.984 Dy
0.700 0.958 0.384 Dy
0.704 0.525 0.473 Dy
0.762 0.093 0.103 Dy
0.762 0.688 0.205 Dy
0.798 0.259 0.318 Dy
0.890 0.981 0.626 Dy
0.986 0.717 0.463 Dy

=====

<b>
PBE-GGA La2PrDy5, relaxed; magnetic moment = 0.00 μB/f.u.
1.0
7.211 0.000 0.000
0.000 14.439 0.000
0.000 0.000 5.143
La Pr Dy
4 2 10
direct
0.246 0.126 0.000 La
0.254 0.626 0.000 La
0.746 0.374 0.000 La
0.754 0.874 0.000 La
0.000 0.500 0.500 Pr
0.500 0.000 0.500 Pr
0.000 0.000 0.500 Dy
0.005 0.751 0.500 Dy
0.246 0.375 0.000 Dy
0.254 0.875 0.000 Dy
0.495 0.251 0.500 Dy
0.500 0.500 0.500 Dy
0.505 0.749 0.500 Dy
0.746 0.125 0.000 Dy
0.754 0.625 0.000 Dy
0.995 0.249 0.500 Dy

=====

Sorted by energy, starting with the most stable: <b>, <a>.

=====

<a>
PBE-GGA LaPr7Dy12, relaxed; magnetic moment = 0.00 μB/f.u.
1.0
-5.699 5.699 5.699
5.699 -5.699 5.699
5.699 5.699 -5.699
La Pr Dy
1 7 12
direct
0.000 0.000 0.000 La
0.000 0.000 0.500 Pr
0.000 0.500 0.000 Pr
0.000 0.500 0.500 Pr
0.500 0.000 0.000 Pr
0.500 0.000 0.500 Pr
0.500 0.500 0.000 Pr
0.500 0.500 0.500 Pr
0.000 0.251 0.749 Dy
0.000 0.749 0.251 Dy
0.251 0.000 0.749 Dy
0.251 0.251 0.503 Dy
0.251 0.503 0.251 Dy
0.251 0.749 0.000 Dy
0.497 0.749 0.749 Dy
0.503 0.251 0.251 Dy
0.749 0.000 0.251 Dy
0.749 0.251 0.000 Dy
0.749 0.497 0.749 Dy
0.749 0.749 0.497 Dy

=====

<b>
PBE-GGA LaPr7Dy12, relaxed; magnetic moment = 0.00 μB/f.u.
1.0
6.066 3.502 5.420
-6.066 3.502 5.420
0.000 -7.005 5.420
La Pr Dy
1 7 12
direct
0.000 0.000 0.000 La
0.070 0.158 0.397 Pr
0.158 0.397 0.070 Pr
0.397 0.070 0.158 Pr
0.500 0.500 0.500 Pr
0.603 0.930 0.842 Pr
0.842 0.603 0.930 Pr
0.930 0.842 0.603 Pr
0.132 0.495 0.622 Dy
0.148 0.737 0.276 Dy
0.263 0.724 0.852 Dy
0.276 0.148 0.737 Dy
0.378 0.868 0.505 Dy
0.495 0.622 0.132 Dy
0.505 0.378 0.868 Dy
0.622 0.132 0.495 Dy
0.724 0.852 0.263 Dy
0.737 0.276 0.148 Dy
0.852 0.263 0.724 Dy
0.868 0.505 0.378 Dy

=====

Sorted by energy, starting with the most stable: <b>, <a>.

=====

<a>
PBE-GGA La8Pr3Dy2, relaxed; magnetic moment = 0.00 μB/f.u.
1.0
10.380 -3.880 0.000
10.380 3.880 0.000
-0.002 0.000 5.952
La Pr Dy
8 3 2
direct
0.098 0.689 0.000 La
0.176 0.176 0.501 La
0.311 0.902 0.000 La
0.363 0.363 0.500 La
0.637 0.637 0.500 La
0.689 0.098 0.000 La
0.824 0.824 0.499 La
0.902 0.311 0.000 La
0.217 0.783 0.500 Pr
0.500 0.500 0.000 Pr
0.783 0.217 0.500 Pr
0.258 0.258 0.001 Dy
0.742 0.742 0.999 Dy

=====

<b>
PBE-GGA La8Pr3Dy2, relaxed; magnetic moment = 0.00 μB/f.u.
1.0
6.777 -5.991 0.000
6.777 5.991 0.000
-2.423 0.000 5.791
La Pr Dy
8 3 2
direct
0.052 0.052 0.294 La
0.064 0.584 0.825 La
0.355 0.355 0.445 La
0.416 0.936 0.175 La
0.584 0.064 0.825 La
0.645 0.645 0.555 La
0.936 0.416 0.175 La
0.948 0.948 0.706 La
0.254 0.746 0.500 Pr
0.500 0.500 0.000 Pr
0.746 0.254 0.500 Pr
0.212 0.212 0.838 Dy
0.788 0.788 0.162 Dy

=====

Sorted by energy, starting with the most stable: <b>, <a>.

=====

<a>
PBE-GGA La2PrDy6, relaxed; magnetic moment = 0.00 μB/f.u.
1.0
10.097 0.000 0.000
-5.049 8.745 0.000
0.000 0.000 3.419
La Pr Dy
2 1 6
direct
0.333 0.667 0.000 La
0.667 0.333 0.000 La
0.000 0.000 0.500 Pr
0.000 0.334 0.727 Dy
0.000 0.666 0.273 Dy
0.334 0.000 0.727 Dy
0.334 0.334 0.273 Dy
0.666 0.000 0.273 Dy
0.666 0.666 0.727 Dy

=====

<b>
PBE-GGA La2PrDy6, relaxed; magnetic moment = 0.00 μB/f.u.
1.0
-1.761 5.204 8.243
1.761 -5.204 8.243
1.761 5.204 -8.243
La Pr Dy
2 1 6
direct
0.157 0.157 0.000 La
0.843 0.843 0.000 La
0.500 0.000 0.500 Pr
0.156 0.823 0.333 Dy
0.188 0.500 0.688 Dy
0.489 0.823 0.667 Dy
0.511 0.177 0.333 Dy
0.812 0.500 0.312 Dy
0.844 0.177 0.667 Dy

=====

Sorted by energy, starting with the most stable: <b>, <a>.

=====

<a>
PBE-GGA La4Pr2Dy, relaxed; magnetic moment = 0.00 μB/f.u.
1.0
6.414 0.000 0.000
2.104 7.981 0.000
0.032 -0.003 9.808
La Pr Dy
8 4 2
direct
0.000 0.000 0.000 La
0.001 0.501 0.502 La
0.143 0.576 0.143 La
0.286 0.648 0.788 La
0.427 0.214 0.928 La
0.429 0.717 0.430 La
0.570 0.287 0.572 La
0.711 0.362 0.214 La
0.284 0.144 0.287 Pr
0.713 0.862 0.716 Pr
0.856 0.431 0.858 Pr
0.857 0.932 0.358 Pr
0.141 0.073 0.643 Dy
0.572 0.789 0.073 Dy

=====

<b>
PBE-GGA La4Pr2Dy, relaxed; magnetic moment = 0.00 μB/f.u.
1.0
-3.498 5.876 6.220
3.498 -5.876 6.220
3.498 5.876 -6.220
La Pr Dy
8 4 2
direct
0.151 0.146 0.004 La
0.244 0.213 0.469 La
0.244 0.775 0.031 La
0.358 0.854 0.504 La
0.642 0.146 0.496 La
0.756 0.225 0.969 La
0.756 0.787 0.531 La
0.849 0.854 0.996 La
0.000 0.500 0.500 Pr
0.032 0.282 0.750 Pr
0.500 0.500 0.000 Pr
0.968 0.718 0.250 Pr
0.500 0.000 0.000 Dy
0.500 0.500 0.500 Dy

=====

Sorted by energy, starting with the most stable: <a>, <b>.

=====

<a>
PBE-GGA La2Pr6Dy, relaxed; magnetic moment = 0.00 μB/f.u.
1.0
6.964 -7.093 0.000
6.964 7.093 0.000
-0.387 0.000 6.605
La Pr Dy
4 12 2
direct
0.155 0.270 0.042 La
0.270 0.155 0.542 La
0.730 0.845 0.458 La
0.845 0.730 0.958 La
0.054 0.692 0.390 Pr
0.179 0.601 0.888 Pr
0.308 0.946 0.110 Pr
0.329 0.479 0.418 Pr
0.399 0.821 0.612 Pr
0.479 0.329 0.918 Pr
0.521 0.671 0.082 Pr
0.601 0.179 0.388 Pr
0.671 0.521 0.582 Pr
0.692 0.054 0.890 Pr
0.821 0.399 0.112 Pr
0.946 0.308 0.610 Pr
0.035 0.965 0.750 Dy
0.965 0.035 0.250 Dy

=====

<b>
PBE-GGA La2Pr6Dy, relaxed; magnetic moment = 0.00 μB/f.u.
1.0
8.301 0.000 0.000
0.000 8.301 0.000
0.000 0.000 10.700
La Pr Dy
4 12 2
direct
0.000 0.000 0.147 La
0.000 0.000 0.853 La
0.500 0.500 0.353 La
0.500 0.500 0.647 La
0.234 0.234 0.331 Pr
0.234 0.234 0.669 Pr
0.239 0.239 0.000 Pr
0.261 0.739 0.500 Pr
0.266 0.734 0.169 Pr
0.266 0.734 0.831 Pr
0.734 0.266 0.169 Pr
0.734 0.266 0.831 Pr
0.739 0.261 0.500 Pr
0.761 0.761 0.000 Pr
0.766 0.766 0.331 Pr
0.766 0.766 0.669 Pr
0.000 0.000 0.500 Dy
0.500 0.500 0.000 Dy

=====

Sorted by energy, starting with the most stable: <a>, <b>.